No. 1
VASP calculation (meta-GGA SCAN) on CaZn3 at its PBEsol-relaxed geometry.

Lattice parameters (Å, degrees): 6.370 6.370 4.333 90.00 90.00 120.00
Positions (direct):
Ca 0.333 0.667 0.250
Ca 0.667 0.333 0.750
Zn 0.141 0.281 0.750
Zn 0.141 0.859 0.750
Zn 0.281 0.141 0.250
Zn 0.719 0.859 0.750
Zn 0.859 0.141 0.250
Zn 0.859 0.719 0.250

E_tot = -12.78 eV per atom
E_form = -0.230 eV per atom
Fermi-level density of states = 0.365 states/eV per atom
M_tot = 0.0 μB per formula unit
Space-group type = P6_3/mmc


No. 2
VASP calculation (meta-GGA SCAN) on MgSb2W at its PBEsol-relaxed geometry.

Lattice parameters (Å, degrees): 4.605 3.486 10.185 90.00 90.00 90.00
Positions (direct):
Mg 0.000 0.000 0.000
Mg 0.000 0.500 0.500
Sb 0.000 0.000 0.732
Sb 0.000 0.500 0.232
Sb 0.500 0.000 0.442
Sb 0.500 0.500 0.942
W 0.500 0.000 0.157
W 0.500 0.500 0.657

E_tot = -36.93 eV per atom
Energy above the most stable polymorph in this dataset = 82 meV per atom
Fermi-level density of states = 0.554 states/eV per atom
M_tot = 0.0 μB per formula unit
Formation energy without anion corrections = 0.37 eV/atom
Space-group type = Amm2


No. 3
VASP calculation (meta-GGA SCAN) on LiPSe2 at its PBEsol-relaxed geometry.

Lattice parameters (Å, degrees): 5.305 5.240 5.565 90.00 93.76 90.00
Positions (direct):
Li 0.000 0.000 0.000
Li 0.500 0.500 0.000
P 0.445 0.000 0.570
P 0.945 0.500 0.570
Se 0.002 0.500 0.970
Se 0.005 0.000 0.484
Se 0.502 0.000 0.970
Se 0.505 0.500 0.484

E_tot = -13.78 eV per atom
Fermi-level density of states = 0.008 states/eV per atom
M_tot = 0.0 μB per formula unit
Formation energy without anion corrections = -0.55 eV/atom
Space-group type = Cm


No. 4
VASP calculation (meta-GGA SCAN) on BeWCl at its PBEsol-relaxed geometry.

Lattice parameters (Å, degrees): 2.888 2.888 5.731 90.00 90.00 120.00
Positions (direct):
Be 0.000 0.000 0.000
W 0.667 0.333 0.321
Cl 0.333 0.667 0.654

E_tot = -26.89 eV per atom
Energy above the most stable polymorph in this dataset = 0 meV per atom
Fermi-level density of states = 0.408 states/eV per atom
M_tot = 0.0 μB per formula unit
Formation energy without anion corrections = 0.45 eV/atom
Space-group type = P3m1


No. 5
VASP calculation (meta-GGA SCAN) on SiNi2Pt at its PBEsol-relaxed geometry.

Lattice parameters (Å, degrees): 5.749 5.749 5.749 90.00 90.00 90.00
Positions (direct):
Si 0.000 0.000 0.000
Si 0.000 0.500 0.500
Si 0.500 0.000 0.500
Si 0.500 0.500 0.000
Ni 0.000 0.000 0.500
Ni 0.000 0.500 0.000
Ni 0.250 0.250 0.750
Ni 0.250 0.750 0.250
Ni 0.500 0.000 0.000
Ni 0.500 0.500 0.500
Ni 0.750 0.250 0.250
Ni 0.750 0.750 0.750
Pt 0.250 0.250 0.250
Pt 0.250 0.750 0.750
Pt 0.750 0.250 0.750
Pt 0.750 0.750 0.250

E_tot = -28.53 eV per atom
Fermi-level density of states = 0.608 states/eV per atom
M_tot = 0.0 μB per formula unit
Formation energy without anion corrections = -0.40 eV/atom
Space-group type = F-43m


No. 6
VASP calculation (meta-GGA SCAN) on BeCoCu at its PBEsol-relaxed geometry.

Lattice parameters (Å, degrees): 3.771 3.771 2.384 90.00 90.00 120.00
Positions (direct):
Be 0.000 0.000 0.000
Co 0.333 0.667 0.319
Cu 0.667 0.333 0.754

E_tot = -12.31 eV per atom
E_form = -0.026 eV per atom
Fermi-level density of states = 0.445 states/eV per atom
M_tot = 1.5 μB per formula unit
Space-group type = P3m1


No. 7
VASP calculation (meta-GGA SCAN) on SrMgTl2 at its PBEsol-relaxed geometry.

Lattice parameters (Å, degrees): 4.011 4.011 7.320 90.00 90.00 90.00
Positions (direct):
Sr 0.000 0.000 0.000
Mg 0.500 0.500 0.686
Tl 0.000 0.000 0.508
Tl 0.500 0.500 0.266

E_tot = -43.23 eV per atom
Energy above the most stable polymorph in this dataset = 184 meV per atom
E_form = -0.237 eV per atom
Fermi-level density of states = 0.570 states/eV per atom
M_tot = 0.0 μB per formula unit
Space-group type = P4mm


No. 8
VASP calculation (meta-GGA SCAN) on KSiMo2 at its PBEsol-relaxed geometry.

Lattice parameters (Å, degrees): 4.249 4.249 7.186 90.00 90.00 90.00
Positions (direct):
K 0.000 0.000 0.000
K 0.500 0.500 0.500
Si 0.000 0.000 0.500
Si 0.500 0.500 0.000
Mo 0.000 0.500 0.250
Mo 0.000 0.500 0.750
Mo 0.500 0.000 0.250
Mo 0.500 0.000 0.750

E_tot = -20.53 eV per atom
Fermi-level density of states = 1.026 states/eV per atom
M_tot = 0.0 μB per formula unit
Formation energy without anion corrections = 1.50 eV/atom
Space-group type = I4/mmm


No. 9
VASP calculation (meta-GGA SCAN) on SiPOs2 at its PBEsol-relaxed geometry.

Lattice parameters (Å, degrees): 2.875 4.380 4.145 90.00 90.00 90.00
Positions (direct):
Si 0.000 0.000 0.000
P 0.500 0.500 0.223
Os 0.000 0.500 0.736
Os 0.500 0.000 0.486

E_tot = -41.20 eV per atom
Energy above the most stable polymorph in this dataset = 0 meV per atom
Fermi-level density of states = 0.581 states/eV per atom
M_tot = 0.0 μB per formula unit
Formation energy without anion corrections = -0.16 eV/atom
Space-group type = Pmm2


No. 10
VASP calculation (meta-GGA SCAN) on B2WF at its PBEsol-relaxed geometry.

Lattice parameters (Å, degrees): 5.247 5.247 5.983 90.00 90.00 90.00
Positions (direct):
B 0.196 0.750 0.125
B 0.250 0.196 0.875
B 0.250 0.304 0.375
B 0.304 0.750 0.625
B 0.696 0.250 0.625
B 0.750 0.696 0.375
B 0.750 0.804 0.875
B 0.804 0.250 0.125
W 0.000 0.000 0.500
W 0.000 0.500 0.750
W 0.500 0.000 0.250
W 0.500 0.500 0.000
F 0.000 0.000 0.000
F 0.000 0.500 0.250
F 0.500 0.000 0.750
F 0.500 0.500 0.500

E_tot = -21.23 eV per atom
Fermi-level density of states = 0.395 states/eV per atom
M_tot = 0.0 μB per formula unit
Formation energy without anion corrections = 0.79 eV/atom
Space-group type = I-42d


No. 11
VASP calculation (meta-GGA SCAN) on SnBi2Au2 at its PBEsol-relaxed geometry.

Lattice parameters (Å, degrees): 7.515 7.515 4.275 90.00 90.00 90.00
Positions (direct):
Sn 0.000 0.000 0.000
Sn 0.500 0.500 0.000
Bi 0.173 0.327 0.500
Bi 0.327 0.827 0.500
Bi 0.673 0.173 0.500
Bi 0.827 0.673 0.500
Au 0.131 0.631 0.000
Au 0.369 0.131 0.000
Au 0.631 0.869 0.000
Au 0.869 0.369 0.000

E_tot = -66.20 eV per atom
Energy above the most stable polymorph in this dataset = 0 meV per atom
E_form = 0.082 eV per atom
Fermi-level density of states = 0.430 states/eV per atom
M_tot = 0.0 μB per formula unit
Space-group type = P4/mbm


No. 12
VASP calculation (meta-GGA SCAN) on NaPt at its PBEsol-relaxed geometry.

Lattice parameters (Å, degrees): 10.305 2.751 7.470 90.00 104.35 90.00
Positions (direct):
Na 0.000 0.000 0.000
Na 0.054 0.000 0.593
Na 0.307 0.000 0.639
Na 0.500 0.500 0.000
Na 0.554 0.500 0.593
Na 0.807 0.500 0.639
Pt 0.153 0.500 0.306
Pt 0.231 0.500 0.953
Pt 0.374 0.000 0.273
Pt 0.653 0.000 0.306
Pt 0.731 0.000 0.953
Pt 0.874 0.500 0.273

E_tot = -37.30 eV per atom
E_form = -0.094 eV per atom
Fermi-level density of states = 0.373 states/eV per atom
M_tot = 0.0 μB per formula unit
Space-group type = Cm


No. 13
VASP calculation (meta-GGA SCAN) on LaAl2ZnRe at its PBEsol-relaxed geometry.

Lattice parameters (Å, degrees): 5.606 5.606 4.840 90.00 90.00 90.00
Positions (direct):
La 0.000 0.000 0.000
Al 0.000 0.500 0.000
Al 0.500 0.000 0.000
Zn 0.500 0.500 0.500
Re 0.000 0.000 0.500

E_tot = -26.61 eV per atom
E_form = 2.031 eV per atom
Fermi-level density of states = 0.691 states/eV per atom
M_tot = 1.0 μB per formula unit
Space-group type = P4/mmm


No. 14
VASP calculation (meta-GGA SCAN) on YHgPb2 at its PBEsol-relaxed geometry.

Lattice parameters (Å, degrees): 3.572 3.572 29.893 90.00 90.00 120.00
Positions (direct):
Y 0.000 0.000 0.000
Y 0.333 0.667 0.667
Y 0.667 0.333 0.333
Hg 0.000 0.000 0.743
Hg 0.333 0.667 0.410
Hg 0.667 0.333 0.077
Pb 0.000 0.000 0.247
Pb 0.000 0.000 0.490
Pb 0.333 0.667 0.157
Pb 0.333 0.667 0.914
Pb 0.667 0.333 0.581
Pb 0.667 0.333 0.824

E_tot = -62.14 eV per atom
E_form = -0.245 eV per atom
Fermi-level density of states = 0.607 states/eV per atom
M_tot = 0.0 μB per formula unit
Space-group type = R3m


No. 15
VASP calculation (meta-GGA SCAN) on TeI2ClO at its PBEsol-relaxed geometry.

Lattice parameters (Å, degrees): 5.111 5.111 4.539 90.00 90.00 90.00
Positions (direct):
Te 0.000 0.000 0.000
I 0.000 0.500 0.500
I 0.500 0.000 0.500
Cl 0.500 0.500 0.000
O 0.000 0.000 0.500

E_tot = -24.54 eV per atom
Fermi-level density of states = 1.157 states/eV per atom
M_tot = 0.0 μB per formula unit
Formation energy without anion corrections = 0.45 eV/atom
Space-group type = P4/mmm


No. 16
VASP calculation (meta-GGA SCAN) on RbY3Be at its PBEsol-relaxed geometry.

Lattice parameters (Å, degrees): 5.442 5.442 5.442 90.00 90.00 90.00
Positions (direct):
Rb 0.000 0.000 0.000
Y 0.000 0.500 0.500
Y 0.500 0.000 0.500
Y 0.500 0.500 0.000
Be 0.500 0.500 0.500

E_tot = -21.23 eV per atom
E_form = 0.490 eV per atom
Fermi-level density of states = 0.906 states/eV per atom
M_tot = 1.2 μB per formula unit
Space-group type = Pm-3m


No. 17
VASP calculation (meta-GGA SCAN) on Ba2TlCu at its PBEsol-relaxed geometry.

Lattice parameters (Å, degrees): 3.972 5.796 5.799 90.00 90.00 90.00
Positions (direct):
Ba 0.000 0.000 0.000
Ba 0.000 0.500 0.497
Tl 0.500 0.000 0.501
Cu 0.500 0.500 0.991

E_tot = -41.87 eV per atom
E_form = -0.202 eV per atom
Fermi-level density of states = 0.522 states/eV per atom
M_tot = 0.0 μB per formula unit
Space-group type = Pmm2


No. 18
VASP calculation (meta-GGA SCAN) on LiSe3 at its PBEsol-relaxed geometry.

Lattice parameters (Å, degrees): 3.955 3.955 18.163 90.00 90.00 120.00
Positions (direct):
Li 0.000 0.000 0.000
Li 0.333 0.667 0.667
Li 0.667 0.333 0.333
Se 0.000 0.000 0.249
Se 0.000 0.000 0.500
Se 0.000 0.000 0.751
Se 0.333 0.667 0.167
Se 0.333 0.667 0.417
Se 0.333 0.667 0.916
Se 0.667 0.333 0.084
Se 0.667 0.333 0.583
Se 0.667 0.333 0.833

E_tot = -15.83 eV per atom
Energy above the most stable polymorph in this dataset = 312 meV per atom
Fermi-level density of states = 0.775 states/eV per atom
M_tot = 0.2 μB per formula unit
Formation energy without anion corrections = -0.17 eV/atom
Space-group type = R-3m


No. 19
VASP calculation (meta-GGA SCAN) on SmRe2 at its PBEsol-relaxed geometry.

Lattice parameters (Å, degrees): 5.424 5.424 8.766 90.00 90.00 120.00
Positions (direct):
Sm 0.333 0.667 0.063
Sm 0.333 0.667 0.437
Sm 0.667 0.333 0.563
Sm 0.667 0.333 0.937
Re 0.000 0.000 0.000
Re 0.000 0.000 0.500
Re 0.170 0.340 0.750
Re 0.170 0.830 0.750
Re 0.340 0.170 0.250
Re 0.660 0.830 0.750
Re 0.830 0.170 0.250
Re 0.830 0.660 0.250

E_tot = -62.37 eV per atom
E_form = -0.153 eV per atom
Fermi-level density of states = 0.604 states/eV per atom
M_tot = 0.0 μB per formula unit
Space-group type = P6_3/mmc


No. 20
VASP calculation (meta-GGA SCAN) on SrHf2B at its PBEsol-relaxed geometry.

Lattice parameters (Å, degrees): 6.954 6.954 6.954 60.00 60.00 60.00
Positions (direct):
Sr 0.125 0.125 0.125
Sr 0.875 0.875 0.875
Hf 0.000 0.500 0.500
Hf 0.500 0.000 0.500
Hf 0.500 0.500 0.000
Hf 0.500 0.500 0.500
B 0.375 0.375 0.375
B 0.625 0.625 0.625

E_tot = -38.06 eV per atom
E_form = 0.700 eV per atom
Fermi-level density of states = 1.230 states/eV per atom
M_tot = 0.0 μB per formula unit
Space-group type = Fd-3m


No. 21
VASP calculation (meta-GGA SCAN) on K2Ag2As at its PBEsol-relaxed geometry.

Lattice parameters (Å, degrees): 3.723 3.723 20.423 90.00 90.00 90.00
Positions (direct):
K 0.000 0.000 0.102
K 0.000 0.000 0.898
K 0.500 0.500 0.398
K 0.500 0.500 0.602
Ag 0.000 0.500 0.250
Ag 0.000 0.500 0.750
Ag 0.500 0.000 0.250
Ag 0.500 0.000 0.750
As 0.000 0.000 0.500
As 0.500 0.500 0.000

E_tot = -19.92 eV per atom
E_form = -0.006 eV per atom
Fermi-level density of states = 0.336 states/eV per atom
M_tot = 0.0 μB per formula unit
Space-group type = I4/mmm


No. 22
VASP calculation (meta-GGA SCAN) on CsNb3Hg at its PBEsol-relaxed geometry.

Lattice parameters (Å, degrees): 5.231 5.231 5.231 90.00 90.00 90.00
Positions (direct):
Cs 0.000 0.000 0.000
Nb 0.000 0.500 0.500
Nb 0.500 0.000 0.500
Nb 0.500 0.500 0.000
Hg 0.500 0.500 0.500

E_tot = -39.08 eV per atom
E_form = 1.993 eV per atom
Fermi-level density of states = 1.383 states/eV per atom
M_tot = 9.4 μB per formula unit
Space-group type = Pm-3m


No. 23
VASP calculation (meta-GGA SCAN) on Zn2Hg at its PBEsol-relaxed geometry.

Lattice parameters (Å, degrees): 2.928 2.928 24.781 90.00 90.00 90.00
Positions (direct):
Zn 0.000 0.250 0.292
Zn 0.000 0.250 0.458
Zn 0.000 0.750 0.542
Zn 0.000 0.750 0.708
Zn 0.500 0.250 0.042
Zn 0.500 0.250 0.208
Zn 0.500 0.750 0.792
Zn 0.500 0.750 0.958
Hg 0.000 0.250 0.875
Hg 0.000 0.750 0.125
Hg 0.500 0.250 0.625
Hg 0.500 0.750 0.375

E_tot = -31.55 eV per atom
E_form = 0.178 eV per atom
Fermi-level density of states = 0.272 states/eV per atom
M_tot = 0.0 μB per formula unit
Space-group type = I4_1/amd


No. 24
VASP calculation (meta-GGA SCAN) on Zr2HgSe at its PBEsol-relaxed geometry.

Lattice parameters (Å, degrees): 3.989 5.102 7.874 90.00 90.00 90.00
Positions (direct):
Zr 0.000 0.000 0.227
Zr 0.000 0.000 0.773
Zr 0.500 0.500 0.273
Zr 0.500 0.500 0.727
Hg 0.000 0.500 0.000
Hg 0.500 0.000 0.500
Se 0.000 0.500 0.500
Se 0.500 0.000 0.000

E_tot = -38.03 eV per atom
Energy above the most stable polymorph in this dataset = 0 meV per atom
Fermi-level density of states = 0.599 states/eV per atom
M_tot = 0.0 μB per formula unit
Formation energy without anion corrections = -0.62 eV/atom
Space-group type = Immm


No. 25
VASP calculation (meta-GGA SCAN) on MoPt2Pb at its PBEsol-relaxed geometry.

Lattice parameters (Å, degrees): 5.574 8.401 2.897 90.00 90.00 90.00
Positions (direct):
Mo 0.000 0.000 0.000
Mo 0.500 0.500 0.000
Pt 0.250 0.250 0.500
Pt 0.250 0.750 0.500
Pt 0.750 0.250 0.500
Pt 0.750 0.750 0.500
Pb 0.000 0.500 0.000
Pb 0.500 0.000 0.000

E_tot = -62.56 eV per atom
E_form = 0.208 eV per atom
Fermi-level density of states = 0.836 states/eV per atom
M_tot = 0.0 μB per formula unit
Space-group type = Cmmm


No. 26
VASP calculation (meta-GGA SCAN) on ScMo2Br at its PBEsol-relaxed geometry.

Lattice parameters (Å, degrees): 3.281 5.067 8.609 90.00 90.00 90.00
Positions (direct):
Sc 0.000 0.000 0.000
Sc 0.500 0.500 0.500
Mo 0.000 0.000 0.504
Mo 0.000 0.500 0.214
Mo 0.500 0.000 0.714
Mo 0.500 0.500 0.004
Br 0.000 0.500 0.756
Br 0.500 0.000 0.256

E_tot = -25.43 eV per atom
Energy above the most stable polymorph in this dataset = 56 meV per atom
Fermi-level density of states = 0.594 states/eV per atom
M_tot = 0.0 μB per formula unit
Formation energy without anion corrections = 0.44 eV/atom
Space-group type = Imm2


No. 27
VASP calculation (meta-GGA SCAN) on Rb3HoP2O8 at its PBEsol-relaxed geometry.

Lattice parameters (Å, degrees): 5.679 5.679 7.986 90.00 90.00 120.00
Positions (direct):
Rb 0.000 0.000 0.000
Rb 0.333 0.667 0.745
Rb 0.667 0.333 0.255
Ho 0.000 0.000 0.500
P 0.333 0.667 0.272
P 0.667 0.333 0.728
O 0.185 0.369 0.341
O 0.185 0.815 0.341
O 0.333 0.667 0.082
O 0.369 0.185 0.659
O 0.631 0.815 0.341
O 0.667 0.333 0.918
O 0.815 0.185 0.659
O 0.815 0.631 0.659

E_tot = -15.84 eV per atom
Fermi-level density of states = 0.000 states/eV per atom
M_tot = 0.0 μB per formula unit
Formation energy without anion corrections = -2.85 eV/atom
Space-group type = P-3m1


No. 28
VASP calculation (meta-GGA SCAN) on Y2CoNi at its PBEsol-relaxed geometry.

Lattice parameters (Å, degrees): 3.299 3.299 6.665 90.00 90.00 90.00
Positions (direct):
Y 0.000 0.000 0.246
Y 0.000 0.000 0.754
Co 0.500 0.500 0.000
Ni 0.500 0.500 0.500

E_tot = -22.57 eV per atom
E_form = -0.284 eV per atom
Fermi-level density of states = 0.449 states/eV per atom
M_tot = 0.9 μB per formula unit
Space-group type = P4/mmm